The following is a PBE-GGA calculation of crystalline Tb5Dy2Ho2 at its relaxed geometry, from Alexandria.

Unit cell a=12.695 b=6.087 c=10.267 alpha=107.25 beta=128.19 gamma=90.00
Atoms (fractional coordinates):
Tb 0.847 0.339 0.096
Dy 0.000 0.886 0.000
Tb 0.331 0.103 0.286
Ho 0.183 0.585 0.271
Tb 0.749 0.839 0.096
Dy 0.500 0.386 0.000
Tb 0.068 0.793 0.500
Ho 0.817 0.314 0.729
Tb 0.932 0.293 0.500
Tb 0.545 0.317 0.714
Tb 0.251 0.743 0.904
Ho 0.588 0.085 0.271
Tb 0.153 0.243 0.904
Dy 0.802 0.757 0.500
Tb 0.455 0.603 0.286
Tb 0.669 0.817 0.714
Ho 0.412 0.814 0.729
Dy 0.198 0.257 0.500

Summary:
Offset from the most stable computed form ... 170 meV per atom
Space-group type ... Ima2 (46)
Formation energy ... 1.67 eV per formula unit

---

The following is a PBE-GGA calculation of crystalline Tb5DyHo5 at its relaxed geometry, from Alexandria.

Unit cell a=6.916 b=9.420 c=8.114 alpha=115.29 beta=53.30 gamma=121.51
Atoms (fractional coordinates):
Ho 0.323 0.720 0.647
Tb 0.253 0.346 0.323
Tb 0.147 0.358 0.845
Dy 0.000 0.000 0.000
Ho 0.661 0.311 0.789
Ho 0.000 0.000 0.500
Tb 0.853 0.642 0.155
Ho 0.339 0.689 0.211
Tb 0.747 0.654 0.677
Tb 0.500 0.000 0.000
Ho 0.677 0.280 0.353

Summary:
Offset from the most stable computed form ... 0 meV per atom
Space-group type ... P-1 (2)
Formation energy ... 1.63 eV per formula unit

---

The following is a PBE-GGA calculation of crystalline Tb3Dy4Ho8 at its relaxed geometry, from Alexandria.

Unit cell a=6.882 b=6.882 c=12.319 alpha=73.78 beta=73.78 gamma=60.00
Atoms (fractional coordinates):
Ho 0.755 0.755 0.736
Dy 0.500 0.500 0.500
Ho 0.751 0.248 0.250
Tb 0.500 0.000 0.500
Ho 0.752 0.249 0.750
Ho 0.249 0.249 0.750
Ho 0.248 0.751 0.250
Tb 0.000 0.500 0.500
Dy 0.336 0.336 0.991
Dy 0.664 0.664 0.009
Ho 0.249 0.752 0.750
Tb 0.000 0.000 0.500
Dy 0.000 0.000 0.000
Ho 0.245 0.245 0.264
Ho 0.751 0.751 0.250

Summary:
Offset from the most stable computed form ... 0 meV per atom
Space-group type ... R-3m (166)
Formation energy ... 2.17 eV per formula unit

---

The following is a PBE-GGA calculation of crystalline Tb2Dy6Ho at its relaxed geometry, from Alexandria.

Unit cell a=3.539 b=8.654 c=12.740 alpha=132.76 beta=82.01 gamma=90.06
Atoms (fractional coordinates):
Dy 0.666 0.667 0.667
Dy 0.334 0.333 0.333
Ho 0.000 0.000 0.000
Tb 0.555 0.222 0.889
Tb 0.445 0.778 0.111
Dy 0.111 0.444 0.777
Dy 0.222 0.889 0.555
Dy 0.778 0.111 0.445
Dy 0.889 0.556 0.223

Summary:
Space-group type ... P-1 (2)
Formation energy ... 0.15 eV per formula unit

---

The following is a PBE-GGA calculation of crystalline Tb2Dy3Ho3 at its relaxed geometry, from Alexandria.

Unit cell a=4.995 b=4.995 c=10.595 alpha=103.61 beta=103.63 gamma=90.00
Atoms (fractional coordinates):
Dy 0.625 0.625 0.249
Dy 0.500 0.000 0.000
Ho 0.000 0.500 0.000
Ho 0.125 0.125 0.249
Tb 0.750 0.250 0.500
Tb 0.250 0.750 0.500
Ho 0.875 0.875 0.751
Dy 0.375 0.375 0.751

Summary:
Offset from the most stable computed form ... 16 meV per atom
Space-group type ... Immm (71)
Formation energy ... 0.15 eV per formula unit

---

The following is a PBE-GGA calculation of crystalline TbDy8Ho6 at its relaxed geometry, from Alexandria.

Unit cell a=8.969 b=8.969 c=8.558 alpha=58.40 beta=58.40 gamma=60.00
Atoms (fractional coordinates):
Dy 0.889 0.256 0.576
Tb 0.000 0.000 0.000
Dy 0.721 0.111 0.424
Dy 0.111 0.744 0.424
Ho 0.460 0.893 0.879
Ho 0.540 0.107 0.121
Dy 0.256 0.279 0.576
Dy 0.577 0.577 0.270
Ho 0.768 0.460 0.879
Dy 0.744 0.721 0.424
Ho 0.893 0.768 0.879
Dy 0.279 0.889 0.576
Dy 0.423 0.423 0.730
Ho 0.107 0.232 0.121
Ho 0.232 0.540 0.121

Summary:
Space-group type ... R-3 (148)
Formation energy ... 1.95 eV per formula unit

---

The following is a PBE-GGA calculation of crystalline Tb4Dy3Ho5 at its relaxed geometry, from Alexandria.

Unit cell a=5.848 b=8.480 c=9.575 alpha=105.90 beta=72.22 gamma=69.83
Each line ends with the local moment (μB).
Atoms (fractional coordinates):
Ho 0.214 0.459 0.113  0.01
Dy 0.000 0.500 0.500  0.18
Dy 0.523 0.687 0.268  0.01
Ho 0.373 0.054 0.200  0.01
Tb 0.834 0.952 0.379  0.00
Dy 0.477 0.313 0.732  0.01
Ho 0.786 0.541 0.887  0.01
Tb 0.166 0.048 0.621  0.00
Ho 0.627 0.946 0.800  0.01
Tb 0.860 0.222 0.058  0.01
Ho 0.500 0.500 0.500  0.18
Tb 0.140 0.778 0.942  0.01

Summary:
Offset from the most stable computed form ... 224 meV per atom
Space-group type ... C2/m (12)
Formation energy ... 2.89 eV per formula unit

---

The following is a PBE-GGA calculation of crystalline Tb4Dy3Ho2 at its relaxed geometry, from Alexandria.

Unit cell a=6.093 b=11.196 c=11.196 alpha=61.92 beta=61.98 gamma=61.98
Atoms (fractional coordinates):
Tb 0.421 0.905 0.188
Ho 0.921 0.521 0.240
Tb 0.579 0.095 0.812
Tb 0.079 0.812 0.095
Dy 0.255 0.930 0.736
Tb 0.422 0.570 0.855
Dy 0.245 0.264 0.070
Tb 0.922 0.855 0.570
Ho 0.579 0.760 0.479
Ho 0.421 0.240 0.521
Ho 0.079 0.479 0.760
Dy 0.250 0.597 0.403
Tb 0.578 0.430 0.145
Tb 0.078 0.145 0.430
Dy 0.750 0.403 0.597
Dy 0.755 0.736 0.930
Dy 0.745 0.070 0.264
Tb 0.921 0.188 0.905

Summary:
Offset from the most stable computed form ... 82 meV per atom
Space-group type ... C2/c (15)
Formation energy ... 0.88 eV per formula unit

---

The following is a PBE-GGA calculation of crystalline Tb4Dy8Ho at its relaxed geometry, from Alexandria.

Unit cell a=7.253 b=7.253 c=10.016 alpha=90.00 beta=111.23 gamma=120.00
Atoms (fractional coordinates):
Tb 0.500 0.000 0.000
Tb 0.500 0.500 0.000
Tb 0.000 0.000 0.000
Dy 0.431 0.215 0.646
Ho 0.000 0.500 0.500
Dy 0.501 0.750 0.698
Dy 0.499 0.250 0.302
Dy 0.948 0.750 0.698
Tb 0.000 0.500 0.000
Dy 0.052 0.803 0.302
Dy 0.052 0.250 0.302
Dy 0.569 0.785 0.354
Dy 0.948 0.197 0.698

Summary:
Space-group type ... R-3m (166)
Formation energy ... 2.78 eV per formula unit

---

The following is a PBE-GGA calculation of crystalline Tb4Dy2Ho3 at its relaxed geometry, from Alexandria.

Unit cell a=6.102 b=11.188 c=11.188 alpha=62.04 beta=61.82 gamma=61.82
Atoms (fractional coordinates):
Tb 0.921 0.188 0.904
Dy 0.921 0.521 0.239
Dy 0.579 0.761 0.479
Dy 0.079 0.479 0.761
Tb 0.921 0.855 0.571
Tb 0.421 0.904 0.188
Dy 0.421 0.239 0.521
Ho 0.249 0.264 0.070
Ho 0.750 0.403 0.597
Ho 0.749 0.070 0.264
Tb 0.079 0.145 0.429
Ho 0.251 0.930 0.736
Ho 0.250 0.597 0.403
Ho 0.751 0.736 0.930
Tb 0.421 0.571 0.855
Tb 0.579 0.096 0.812
Tb 0.579 0.429 0.145
Tb 0.079 0.812 0.096

Summary:
Space-group type ... C2/c (15)
Formation energy ... 0.87 eV per formula unit

---

One value per record, in order, for calculated total energy: -4.43; -4.46; -4.45; -4.59; -4.58; -4.46; -4.36; -4.51; -4.39; -4.51 eV per atom.
One value per record, in order, for spin magnetization: 0.0; 0.0; 0.0; 0.0; 0.0; 0.0; 0.5; 0.0; 0.0; 0.0 μB/f.u..